Compound: SrLi2Re
Source: Alexandria
Functional: GGA-PBE
Structure: relaxed

```
SrLi2Re
1.0
-4.493 -1.095 1.923
1.941 0.142 4.615
-0.610 2.800 0.170
Li Re Sr
2 1 1
Direct
0.500 0.500 0.000 Li
0.000 0.000 0.000 Li
0.500 0.000 0.500 Re
0.000 0.500 0.500 Sr
```

Output
- Excess energy over the best structure of this formula in the dataset: 0.205 eV per atom
- Energy: -14.50 eV for the cell shown
- ΔH_f (0 K): 0.8636 eV/atom
- DOS at the Fermi energy: 0.92 states/eV/atom